Record 1
# Ni2PPt

Crystalline Ni2PPt at its relaxed geometry (PBE, Alexandria).

Unit cell a=4.957 b=7.058 c=2.878 alpha=90.00 beta=90.00 gamma=90.00
Space group Cmmm (No. 65)
Asymmetric unit:
Ni 0.250 0.250 0.000
P 0.000 0.000 0.500
Pt 0.000 0.500 0.500

Output
M_tot in Bohr magnetons per cell: 0.00
Formation energy from the elements in kJ/mol of atoms: -11.6
Calculated volume in A^3/atom: 12.6
E_tot in eV for the cell shown: -46.99

---

Record 2
# CrCuSb2

Crystalline CrCuSb2 at its relaxed geometry (PBE, Alexandria).

Unit cell a=8.053 b=3.702 c=5.663 alpha=90.00 beta=104.17 gamma=90.00
Space group C2/m (No. 12)
Asymmetric unit:
Cr 0.000 0.000 0.000
Cu 0.000 0.500 0.500
Sb 0.247 0.500 0.250

Output
M_tot in Bohr magnetons per cell: 7.02
Distance to the lowest polymorph of the same formula in meV per atom: 129.2
Formation energy from raw total energies in eV/atom: 0.270
Calculated volume in A^3/atom: 20.5
E_tot in eV for the cell shown: -41.76

---

Record 3
# LaPu8Rh6

Crystalline LaPu8Rh6 at its relaxed geometry (PBE, Alexandria).

Unit cell a=6.3126 b=6.3126 c=26.1006 alpha=90.00 beta=90.00 gamma=120.00
Space group R-3 (No. 148, hexagonal axes)
Asymmetric unit:
La 0.0000 0.0000 0.0000
Pu 0.0000 0.0000 0.3127
Pu 0.0009 0.6616 0.5229
Rh 0.0005 0.7343 0.4038

Output
M_tot in Bohr magnetons per cell: 27.25
Formation energy from the elements in kJ/mol of atoms: -18.3
Calculated volume in A^3/atom: 20.0
E_tot in eV for the cell shown: -499.62

---

Record 4
# Li2Ga5Cu3

Crystalline Li2Ga5Cu3 at its relaxed geometry (PBE, Alexandria).

Unit cell a=4.125 b=23.833 c=6.299 alpha=90.00 beta=90.00 gamma=90.00
Space group Cmc2_1 (No. 36)
Asymmetric unit:
Li 0.000 0.026 0.000
Li 0.000 0.304 0.777
Ga 0.000 0.090 0.613
Ga 0.000 0.200 0.550
Ga 0.000 0.204 0.979
Ga 0.000 0.379 0.445
Ga 0.000 0.438 0.809
Cu 0.000 0.126 0.242
Cu 0.000 0.278 0.263
Cu 0.000 0.463 0.205

Output
M_tot in Bohr magnetons per cell: 0.00
Formation energy from the elements in kJ/mol of atoms: -15.6
Calculated volume in A^3/atom: 15.5
E_tot in eV for the cell shown: -131.48

---

Record 5
# Be2CdPb

Crystalline Be2CdPb at its relaxed geometry (PBE, Alexandria).

Unit cell a=4.055 b=4.055 c=8.841 alpha=90.00 beta=90.00 gamma=90.00
Space group I-4m2 (No. 119)
Asymmetric unit:
Be 0.000 0.000 0.000
Be 0.000 0.500 0.250
Cd 0.000 0.500 0.750
Pb 0.000 0.000 0.500

Output
M_tot in Bohr magnetons per cell: 0.00
Formation energy from the elements in kJ/mol of atoms: 73.0
Distance to the lowest polymorph of the same formula in meV per atom: 352.2
Calculated volume in A^3/atom: 18.2
E_tot in eV for the cell shown: -18.10

---

Record 6
# Ba2LiAgHg

Crystalline Ba2LiAgHg at its relaxed geometry (PBE, Alexandria).

Unit cell a=6.399 b=6.399 c=4.924 alpha=90.00 beta=90.00 gamma=90.00
Space group P4/mmm (No. 123)
Asymmetric unit:
Ba 0.000 0.500 0.000
Li 0.000 0.000 0.500
Ag 0.000 0.000 0.000
Hg 0.500 0.500 0.500

Output
M_tot in Bohr magnetons per cell: 0.00
Formation energy from the elements in kJ/mol of atoms: -13.6
Calculated volume in A^3/atom: 40.3
E_tot in eV for the cell shown: -9.62